Entry 1:
Entry from Alexandria: a PBEsol-optimized structure of Sr2TbRuO6 (SCAN).

The structure in POSCAR format:
```
Sr2TbRuO6
1.0
-3.4992 -4.4173 1.1062
3.9904 -3.6779 -2.0641
3.1834 -0.7347 7.4632
Sr Tb Ru O
4 2 2 12
Cartesian
4.2029 -2.2922 4.6589
4.5074 -6.2581 4.1483
-0.8329 -2.5717 2.3569
-0.5284 -6.5376 1.8463
0.2456 -4.0476 -0.4790
1.5917 -0.3673 3.7316
0.0000 0.0000 0.0000
1.8373 -4.4149 3.2526
2.9062 -2.6237 7.0594
3.6947 -3.9825 2.8390
0.7683 -6.2062 -0.5541
-0.0202 -4.8473 3.6663
5.2790 -4.2468 5.8636
1.5707 -2.5886 3.9061
-1.6045 -4.5831 0.6416
2.1039 -6.2412 2.5992
2.3915 -4.9927 5.0319
-0.7129 -4.7190 6.7088
1.2830 -3.8372 1.4734
4.3874 -4.1108 -0.2036
```

The spin magnetization is 6.00 Bohr magnetons per cell. For the calculated total energy, the calculation gives -1.404 Ry/atom. As for the raw formation energy: -2750 meV/atom.

Entry 2:
Entry from Alexandria: a PBEsol-optimized structure of Sr2TiRuO6 (SCAN).

The structure in POSCAR format:
```
Sr2TiRuO6
1.0
3.8847 0.0000 0.0000
0.0000 3.8847 0.0000
0.0000 0.0000 7.8456
Sr Ti Ru O
2 1 1 6
Cartesian
1.9423 1.9423 5.8508
1.9423 1.9423 1.9948
0.0000 0.0000 3.9228
0.0000 0.0000 0.0000
0.0000 0.0000 5.8580
0.0000 0.0000 1.9876
1.9423 0.0000 3.9228
1.9423 0.0000 0.0000
0.0000 1.9423 3.9228
0.0000 1.9423 0.0000
```

The spin magnetization is 2.02 Bohr magnetons per cell. For the calculated total energy, the calculation gives -1.180 Ry/atom. As for the raw formation energy: -2770 meV/atom.

Entry 3:
Entry from Alexandria: a PBEsol-optimized structure of Sr2TmRuO6 (SCAN).

The structure in POSCAR format:
```
Sr2TmRuO6
1.0
-0.4445 -5.6852 0.2543
2.6216 0.0234 5.1049
-7.1637 0.6805 3.6757
Sr Tm Ru O
4 2 2 12
Cartesian
-2.1431 -5.4749 1.3313
-0.6276 -2.6996 3.7660
-2.8436 0.4935 7.7036
-4.3591 -2.2818 5.2689
-0.2223 -2.8426 0.1272
-2.2711 0.3519 4.3903
-3.8041 -2.5024 1.9650
1.3108 0.0117 2.5524
0.1951 -4.1268 1.8279
-1.5813 -4.0353 5.9654
-5.1818 -0.8546 7.2070
-3.4054 -0.9461 3.0695
1.4008 -4.4954 4.2707
-2.9214 -3.6679 3.2609
-6.3875 -0.4860 4.7643
-2.0653 -1.3135 5.7740
-0.4478 -0.2166 3.3606
0.4980 -2.2514 6.1099
-4.5389 -4.7647 5.6743
-5.4847 -2.7300 2.9251
```

The spin magnetization is 6.00 Bohr magnetons per cell. For the calculated total energy, the calculation gives -1.445 Ry/atom. As for the raw formation energy: -2803 meV/atom.

> What is the formula in the second record?

Sr2TiRuO6